Hf3As | PBE-GGA | optimized geometry

a = 3.307 Å, b = 3.278 Å, c = 8.422 Å
α = 90.00°, β = 90.00°, γ = 90.00°
Element x y z (fractional)
1 As 0.000 0.000 0.982
2 Hf 0.500 0.000 0.725
3 Hf 0.500 0.500 0.143
4 Hf 0.000 0.500 0.483

Properties
V   91.3 Å³ per cell
Total magnetization   0.0 μB per formula unit
Calculated formation energy   -108 meV/atom